Entry 1:
11
Lattice="6.4143 0.0000 0.0000 0.0000 7.9478 -0.1084 -3.2072 -3.5412 9.9780" Properties=species:S:1:pos:R:3 comment="Na2Sr8Pd | Alexandria via LeMat-Bulk | GGA-PBE | relaxed" crystal_system=monoclinic sg="C2/m, No. 12" final_energy_ev_per_atom=-2.007 dos_ef_per_ev_fu=10.71 formation_energy_ev_per_atom=-0.072 de_polymorph_mev_per_atom=40.8 pbc="T T T"
Na 3.2072 -0.1003 6.3122
Na 0.0000 4.5070 3.5574
Sr 0.0000 1.8364 8.1728
Sr 3.2072 6.5970 2.5749
Sr 3.2072 3.5613 5.8100
Sr 3.2072 -1.7324 9.6657
Sr 0.0000 0.8453 4.0596
Sr 0.0000 -2.1904 7.2948
Sr 3.2072 2.5702 1.6968
Sr 0.0000 6.1390 0.2039
Pd 3.2072 0.0000 0.0000



Entry 2:
11
Lattice="-3.1614 5.8581 -2.8249 2.2426 -2.2132 -7.0992 -9.1650 -2.2293 2.0486" Properties=species:S:1:pos:R:3 comment="NaSr8Pd2 | Alexandria via LeMat-Bulk | GGA-PBE | relaxed" crystal_system=monoclinic sg="C2/m, No. 12" final_energy_ev_per_atom=-2.508 dos_ef_per_ev_fu=8.14 formation_energy_ev_per_atom=-0.221 pbc="T T T"
Na 0.0000 0.0000 0.0000
Sr -2.5174 1.0249 -7.4887
Sr -6.4447 -0.7163 -3.9378
Sr -6.4732 2.1877 -6.9757
Sr -3.6106 -0.7720 -0.8999
Sr -3.6391 2.1319 -3.9378
Sr -7.5664 0.3907 -0.3868
Sr -0.6564 -0.6094 -4.2662
Sr -9.4273 2.0250 -3.6094
Pd -3.5595 -0.7599 -5.1363
Pd -6.5243 2.1755 -2.7392



Entry 3:
18
Lattice="-3.5092 8.5369 2.9285 -6.6009 -7.0832 -0.1623 6.7846 -3.0899 6.1800" Properties=species:S:1:pos:R:3 comment="NaSr6Pd2 | Alexandria via LeMat-Bulk | GGA-PBE | relaxed" crystal_system=orthorhombic sg="Immm, No. 71" final_energy_ev_per_atom=-2.733 dos_ef_per_ev_fu=5.76 formation_energy_ev_per_atom=-0.311 pbc="T T T"
Na 0.0919 -5.0866 3.0088
Na 0.0000 0.0000 0.0000
Sr -2.3972 1.3906 2.4240
Sr -0.9283 -3.0268 6.5222
Sr -6.5552 1.9885 3.5617
Sr 3.2297 -3.6246 5.3845
Sr 0.8189 -6.6431 6.4839
Sr -4.1443 5.0069 2.4623
Sr -4.0474 -0.3629 5.6387
Sr 0.7219 -1.2733 3.3075
Sr -3.1272 -6.3009 4.8926
Sr -0.1983 4.6648 4.0536
Sr -0.1375 1.3015 6.0430
Sr -3.1880 -2.9377 2.9032
Pd 1.7068 -1.1013 6.8167
Pd -5.0323 -0.5349 2.1294
Pd 1.0583 1.7600 2.9430
Pd 2.2171 3.6871 6.1655



Q: Number 1 is which compound?
A: Na2Sr8Pd



Repeat the third record exactly.
18
Lattice="-3.5092 8.5369 2.9285 -6.6009 -7.0832 -0.1623 6.7846 -3.0899 6.1800" Properties=species:S:1:pos:R:3 comment="NaSr6Pd2 | Alexandria via LeMat-Bulk | GGA-PBE | relaxed" crystal_system=orthorhombic sg="Immm, No. 71" final_energy_ev_per_atom=-2.733 dos_ef_per_ev_fu=5.76 formation_energy_ev_per_atom=-0.311 pbc="T T T"
Na 0.0919 -5.0866 3.0088
Na 0.0000 0.0000 0.0000
Sr -2.3972 1.3906 2.4240
Sr -0.9283 -3.0268 6.5222
Sr -6.5552 1.9885 3.5617
Sr 3.2297 -3.6246 5.3845
Sr 0.8189 -6.6431 6.4839
Sr -4.1443 5.0069 2.4623
Sr -4.0474 -0.3629 5.6387
Sr 0.7219 -1.2733 3.3075
Sr -3.1272 -6.3009 4.8926
Sr -0.1983 4.6648 4.0536
Sr -0.1375 1.3015 6.0430
Sr -3.1880 -2.9377 2.9032
Pd 1.7068 -1.1013 6.8167
Pd -5.0323 -0.5349 2.1294
Pd 1.0583 1.7600 2.9430
Pd 2.2171 3.6871 6.1655